Entry 1:
This record from Alexandria describes a geometry-optimized Pd2C2N structure. The functional is PBE.

Magnetic moment = 0.0 μB/f.u.
Space-group type = I4/mmm
Relative energy among the computed polymorphs = 646 meV per atom
V = 9.8 Å³ per atom
Uncorrected energy = -5.56 eV/atom
E_form (uncorrected) = 1.87 eV/atom

Cell and atoms, written as POSCAR:
```
Pd2C2N
1.0
-1.260 2.268 -0.480
-1.187 -0.162 2.351
4.077 4.615 3.857
N C Pd
1 2 2
Direct
0.000 0.000 0.000
0.250 0.750 0.500
0.750 0.250 0.500
0.603 0.603 0.793
0.397 0.397 0.207
```

Entry 2:
This record from Alexandria describes a geometry-optimized PdC2N2 structure. The functional is PBE.

Magnetic moment = 0.0 μB/f.u.
Space-group type = I4/mmm
Relative energy among the computed polymorphs = 1373 meV per atom
V = 9.8 Å³ per atom
Uncorrected energy = -6.32 eV/atom
E_form (uncorrected) = 1.74 eV/atom

Cell and atoms, written as POSCAR:
```
PdC2N2
1.0
3.007 0.000 0.000
0.000 3.007 0.000
1.504 1.504 5.394
N Pd C
2 1 2
Direct
0.250 0.750 0.500
0.750 0.250 0.500
0.000 0.000 0.000
0.808 0.808 0.385
0.192 0.192 0.615
```

Entry 3:
This record from Alexandria describes a geometry-optimized Pm2PdC2N6 structure. The functional is PBE.

Magnetic moment = 1.7 μB/f.u.
Space-group type = C2/m
V = 15.1 Å³ per atom
Uncorrected energy = -7.74 eV/atom
E_form (uncorrected) = -0.18 eV/atom

Cell and atoms, written as POSCAR:
```
Pm2PdC2N6
1.0
6.894 0.003 0.000
3.444 4.751 -0.363
0.001 -2.979 5.285
C Pd N Pm
2 1 6 2
Direct
0.197 0.605 0.719
0.803 0.395 0.281
0.500 0.000 0.500
0.109 0.458 0.743
0.567 0.542 0.257
0.433 0.458 0.743
0.078 0.843 0.670
0.891 0.542 0.257
0.922 0.157 0.330
0.801 0.398 0.815
0.199 0.602 0.185
```

Entry 4:
This record from Alexandria describes a geometry-optimized Pm3PdC2N6 structure. The functional is PBE.

Magnetic moment = 0.0 μB/f.u.
Space-group type = P-3m1
V = 13.4 Å³ per atom
Uncorrected energy = -7.82 eV/atom
E_form (uncorrected) = -0.50 eV/atom

Cell and atoms, written as POSCAR:
```
Pm3PdC2N6
1.0
-3.995 3.418 1.078
0.662 -4.391 3.015
3.872 3.285 3.933
N Pm Pd C
6 3 1 2
Direct
0.627 0.814 0.259
0.373 0.186 0.741
0.814 0.186 0.741
0.186 0.373 0.259
0.186 0.814 0.259
0.814 0.627 0.741
0.333 0.667 0.666
0.667 0.333 0.334
0.000 0.000 0.000
0.000 0.000 0.500
0.667 0.333 0.744
0.333 0.667 0.256
```

Entry 5:
This record from Alexandria describes a geometry-optimized Pr3PdC2N6 structure. The functional is PBE.

Magnetic moment = 0.0 μB/f.u.
Space-group type = P-3m1
V = 13.8 Å³ per atom
Uncorrected energy = -7.80 eV/atom
E_form (uncorrected) = -0.47 eV/atom

Cell and atoms, written as POSCAR:
```
Pr3PdC2N6
1.0
5.421 0.000 0.000
-2.710 4.694 0.000
0.000 0.000 6.527
C N Pr Pd
2 6 3 1
Direct
0.333 0.667 0.257
0.667 0.333 0.743
0.625 0.812 0.261
0.812 0.625 0.739
0.188 0.812 0.261
0.188 0.375 0.261
0.812 0.188 0.739
0.375 0.188 0.739
0.000 0.000 0.000
0.667 0.333 0.336
0.333 0.667 0.664
0.000 0.000 0.500
```

Entry 6:
This record from Alexandria describes a geometry-optimized PdCSN2 structure. The functional is PBE.

Magnetic moment = 0.0 μB/f.u.
Space-group type = P4/mmm
Relative energy among the computed polymorphs = 0 meV per atom
V = 14.4 Å³ per atom
Uncorrected energy = -5.15 eV/atom
E_form (uncorrected) = 1.89 eV/atom

Cell and atoms, written as POSCAR:
```
PdCSN2
1.0
3.168 0.000 0.000
0.000 3.168 0.000
0.000 0.000 7.196
Pd C N S
1 1 2 1
Direct
0.500 0.500 0.500
0.000 0.000 0.000
0.500 0.000 0.000
0.000 0.500 0.000
0.000 0.000 0.500
```

Entry 7:
This record from Alexandria describes a geometry-optimized PdCSN2 structure. The functional is PBE.

Magnetic moment = 4.0 μB/f.u.
Space-group type = P4/mmm
Relative energy among the computed polymorphs = 836 meV per atom
V = 15.8 Å³ per atom
Uncorrected energy = -4.31 eV/atom
E_form (uncorrected) = 2.72 eV/atom

Cell and atoms, written as POSCAR:
```
PdCSN2
1.0
-2.046 3.143 -0.757
-3.081 -2.167 -0.669
-1.378 0.355 5.197
Pd S C N
1 1 1 2
Direct
0.000 0.000 0.000
0.000 0.000 0.500
0.500 0.500 0.500
0.000 0.500 0.000
0.500 0.000 0.000
```

Entry 8:
This record from Alexandria describes a geometry-optimized PdCSeN2 structure. The functional is PBE.

Magnetic moment = 1.8 μB/f.u.
Space-group type = P4/mmm
Relative energy among the computed polymorphs = 0 meV per atom
V = 11.3 Å³ per atom
Uncorrected energy = -4.71 eV/atom
E_form (uncorrected) = 2.20 eV/atom

Cell and atoms, written as POSCAR:
```
PdCSeN2
1.0
-0.864 3.292 -0.963
-2.775 -1.254 -1.799
-2.577 0.405 3.694
Pd N C Se
1 2 1 1
Direct
0.500 0.500 0.500
0.500 0.000 0.000
0.000 0.500 0.000
0.000 0.000 0.000
0.000 0.000 0.500
```

Entry 9:
This record from Alexandria describes a geometry-optimized PdCSeN2 structure. The functional is PBE.

Magnetic moment = 1.2 μB/f.u.
Space-group type = P4/mmm
Relative energy among the computed polymorphs = 332 meV per atom
V = 21.0 Å³ per atom
Uncorrected energy = -4.38 eV/atom
E_form (uncorrected) = 2.53 eV/atom

Cell and atoms, written as POSCAR:
```
PdCSeN2
1.0
3.665 0.000 0.000
0.000 3.665 0.000
0.000 0.000 7.814
Se C N Pd
1 1 2 1
Direct
0.000 0.000 0.500
0.500 0.500 0.500
0.500 0.000 0.000
0.000 0.500 0.000
0.000 0.000 0.000
```

Entry 10:
This record from Alexandria describes a geometry-optimized TePdCN2 structure. The functional is PBE.

Magnetic moment = 1.8 μB/f.u.
Space-group type = P4/mmm
Relative energy among the computed polymorphs = 0 meV per atom
V = 12.9 Å³ per atom
Uncorrected energy = -4.58 eV/atom
E_form (uncorrected) = 2.26 eV/atom

Cell and atoms, written as POSCAR:
```
TePdCN2
1.0
3.697 0.000 0.000
0.000 3.697 0.000
0.000 0.000 4.704
Te C N Pd
1 1 2 1
Direct
0.000 0.000 0.500
0.000 0.000 0.000
0.000 0.500 0.000
0.500 0.000 0.000
0.500 0.500 0.500
```

Entry 11:
This record from Alexandria describes a geometry-optimized TePdCN2 structure. The functional is PBE.

Magnetic moment = 1.2 μB/f.u.
Space-group type = P4/mmm
Relative energy among the computed polymorphs = 66 meV per atom
V = 22.2 Å³ per atom
Uncorrected energy = -4.52 eV/atom
E_form (uncorrected) = 2.33 eV/atom

Cell and atoms, written as POSCAR:
```
TePdCN2
1.0
-2.425 -2.770 -0.125
2.360 -2.149 1.838
-3.228 2.506 7.077
C N Te Pd
1 2 1 1
Direct
0.500 0.500 0.500
0.500 0.000 0.000
0.000 0.500 0.000
0.000 0.000 0.500
0.000 0.000 0.000
```

Entry 12:
This record from Alexandria describes a geometry-optimized Th4PdC2N structure. The functional is PBE.

Magnetic moment = 0.0 μB/f.u.
Space-group type = Cmcm
V = 21.2 Å³ per atom
Uncorrected energy = -8.34 eV/atom
E_form (uncorrected) = -0.63 eV/atom

Cell and atoms, written as POSCAR:
```
Th4PdC2N
1.0
3.803 0.000 0.000
-1.901 6.391 0.000
0.000 0.000 13.974
Th Pd N C
8 2 2 4
Direct
0.266 0.531 0.391
0.000 0.000 0.500
0.734 0.469 0.891
0.000 0.000 0.000
0.734 0.469 0.609
0.435 0.871 0.750
0.266 0.531 0.109
0.565 0.129 0.250
0.108 0.217 0.750
0.892 0.783 0.250
0.835 0.669 0.750
0.165 0.331 0.250
0.635 0.270 0.443
0.365 0.730 0.943
0.365 0.730 0.557
0.635 0.270 0.057
```

Entry 13:
This record from Alexandria describes a geometry-optimized TiPd2CN structure. The functional is PBE.

Magnetic moment = 0.0 μB/f.u.
Space-group type = P4/mmm
V = 13.7 Å³ per atom
Uncorrected energy = -6.03 eV/atom
E_form (uncorrected) = 1.14 eV/atom

Cell and atoms, written as POSCAR:
```
TiPd2CN
1.0
3.878 0.000 0.000
0.000 4.548 0.000
0.000 0.000 3.878
C Pd N Ti
1 2 1 1
Direct
0.000 0.500 0.000
0.000 0.000 0.500
0.500 0.000 0.000
0.000 0.000 0.000
0.500 0.500 0.500
```

Entry 14:
This record from Alexandria describes a geometry-optimized Pm8CN3 structure. The functional is PBE.

Magnetic moment = 2.8 μB/f.u.
Space-group type = C2/m
V = 24.1 Å³ per atom
Uncorrected energy = -6.75 eV/atom
E_form (uncorrected) = -0.73 eV/atom

Cell and atoms, written as POSCAR:
```
Pm8CN3
1.0
7.270 0.000 0.000
-3.635 5.174 -3.591
0.000 0.141 7.588
Pm N C
8 3 1
Direct
0.739 0.478 0.216
0.241 0.979 0.219
0.263 0.021 0.781
0.241 0.483 0.219
0.261 0.522 0.784
0.759 0.021 0.781
0.759 0.517 0.781
0.737 0.979 0.219
0.000 0.500 0.000
0.500 0.500 0.000
0.500 0.000 0.000
0.000 0.000 0.000
```

Entry 15:
This record from Alexandria describes a geometry-optimized Pm6CN2 structure. The functional is PBE.

Magnetic moment = 2.2 μB/f.u.
Space-group type = C2/m
V = 24.2 Å³ per atom
Uncorrected energy = -6.71 eV/atom
E_form (uncorrected) = -0.67 eV/atom

Cell and atoms, written as POSCAR:
```
Pm6CN2
1.0
-3.264 0.777 1.424
-2.483 -6.921 -1.913
4.790 -1.007 6.863
Pm C N
6 1 2
Direct
0.008 0.236 0.016
0.326 0.435 0.651
0.992 0.764 0.984
0.674 0.565 0.349
0.339 0.896 0.678
0.661 0.104 0.322
0.500 0.000 0.000
0.832 0.664 0.664
0.168 0.336 0.336
```

Entry 16:
This record from Alexandria describes a geometry-optimized Pm4CN3 structure. The functional is PBE.

Magnetic moment = 0.0 μB/f.u.
Space-group type = I4/mmm
V = 17.1 Å³ per atom
Uncorrected energy = -7.65 eV/atom
E_form (uncorrected) = -1.00 eV/atom

Cell and atoms, written as POSCAR:
```
Pm4CN3
1.0
-2.730 -4.340 -0.403
3.946 -2.663 1.945
-2.468 4.229 3.996
Pm N C
4 3 1
Direct
0.500 0.000 0.000
0.000 0.500 0.000
0.744 0.744 0.487
0.256 0.256 0.513
0.500 0.500 0.000
0.750 0.250 0.500
0.250 0.750 0.500
0.000 0.000 0.000
```

Entry 17:
This record from Alexandria describes a geometry-optimized PmCN structure. The functional is PBE.

Magnetic moment = 0.0 μB/f.u.
Space-group type = I4mm
Relative energy among the computed polymorphs = 0 meV per atom
V = 14.5 Å³ per atom
Uncorrected energy = -7.96 eV/atom
E_form (uncorrected) = -0.53 eV/atom

Cell and atoms, written as POSCAR:
```
PmCN
1.0
3.727 0.000 0.000
0.000 3.727 0.000
-1.863 -1.863 3.121
N C Pm
1 1 1
Direct
0.885 0.885 0.771
0.682 0.682 0.364
0.283 0.283 0.566
```

Entry 18:
This record from Alexandria describes a geometry-optimized Pm2CN6 structure. The functional is PBE.

Magnetic moment = 2.0 μB/f.u.
Space-group type = C2/m
V = 17.2 Å³ per atom
Uncorrected energy = -7.95 eV/atom
E_form (uncorrected) = -0.32 eV/atom

Cell and atoms, written as POSCAR:
```
Pm2CN6
1.0
3.876 0.000 0.000
-1.938 2.758 1.917
0.000 6.035 18.716
N Pm C
6 2 1
Direct
0.241 0.482 0.396
0.662 0.324 0.789
0.390 0.779 0.047
0.759 0.518 0.604
0.610 0.221 0.953
0.338 0.676 0.211
0.865 0.730 0.271
0.135 0.270 0.729
0.000 0.000 0.500
```

Entry 19:
This record from Alexandria describes a geometry-optimized Pm4C2N structure. The functional is PBE.

Magnetic moment = 0.0 μB/f.u.
Space-group type = R-3m
V = 21.4 Å³ per atom
Uncorrected energy = -7.04 eV/atom
E_form (uncorrected) = -0.50 eV/atom

Cell and atoms, written as POSCAR:
```
Pm4C2N
1.0
-0.064 2.023 -3.079
-3.180 0.547 -1.779
-3.159 11.365 5.326
C Pm N
2 4 1
Direct
0.584 0.584 0.247
0.416 0.416 0.753
0.296 0.296 0.113
0.886 0.886 0.341
0.114 0.114 0.659
0.704 0.704 0.887
0.000 0.000 0.000
```

Entry 20:
This record from Alexandria describes a geometry-optimized Pm5CN4 structure. The functional is PBE.

Magnetic moment = 0.4 μB/f.u.
Space-group type = I4
V = 17.0 Å³ per atom
Uncorrected energy = -7.71 eV/atom
E_form (uncorrected) = -1.08 eV/atom

Cell and atoms, written as POSCAR:
```
Pm5CN4
1.0
4.605 0.000 2.221
2.302 5.768 1.110
-0.203 0.000 6.305
Pm C N
5 1 4
Direct
0.891 0.410 0.799
0.100 0.590 0.201
0.302 0.799 0.590
0.498 0.000 0.000
0.690 0.201 0.410
0.006 0.000 0.000
0.605 0.600 0.203
0.407 0.400 0.797
0.807 0.797 0.600
0.205 0.203 0.400
```